No. 1
# CuSe2Cl

Crystalline CuSe2Cl at its relaxed geometry (GGA-PBE, Alexandria via LeMat-Bulk).

Structure (extended XYZ):
```
8
Lattice="3.179 0.000 0.000 0.000 4.930 0.000 0.000 0.000 10.165" Properties=species:S:1:pos:R:3 pbc="T T T"
Cu 0.000 0.000 0.000
Cu 1.590 2.465 5.083
Se 0.000 2.465 3.212
Se 0.000 2.465 6.953
Se 1.590 0.000 1.870
Se 1.590 0.000 8.295
Cl 0.000 0.000 5.083
Cl 1.590 2.465 0.000
```

Computed properties:
- Relative energy among the computed polymorphs: 0.514 eV/atom
- V: 19.92 A^3/atom
- Energy: -0.110 Ha/atom
- Total magnetic moment: 0.00 μB/cell

***

No. 2
# MgCd2P

Crystalline MgCd2P at its relaxed geometry (GGA-PBE, Alexandria via LeMat-Bulk).

Structure (extended XYZ):
```
4
Lattice="4.044 0.000 0.000 0.000 4.044 0.000 0.000 0.000 4.996" Properties=species:S:1:pos:R:3 pbc="T T T"
Mg 0.000 0.000 0.000
Cd 0.000 2.022 2.498
Cd 2.022 0.000 2.498
P 2.022 2.022 0.000
```

Computed properties:
- ΔE_f: 0.013 eV/atom
- V: 20.42 A^3/atom
- Energy: -0.081 Ha/atom
- Total magnetic moment: 0.00 μB/cell

***

No. 3
# Er2PaTl3Te6

Crystalline Er2PaTl3Te6 at its relaxed geometry (GGA-PBE, Alexandria via LeMat-Bulk).

Structure (extended XYZ):
```
12
Lattice="3.811 -6.598 0.000 3.811 6.598 0.000 -2.541 0.000 8.300" Properties=species:S:1:pos:R:3 pbc="T T T"
Er 3.811 4.398 0.000
Er 3.811 -4.398 0.000
Pa 3.811 0.000 0.000
Tl -1.271 0.000 4.150
Tl 2.540 2.188 4.150
Tl 2.540 -2.188 4.150
Te -0.013 2.221 6.524
Te 1.245 0.000 1.773
Te -0.013 -2.221 6.524
Te 5.094 2.221 1.776
Te 3.835 0.000 6.527
Te 5.094 -2.221 1.776
```

Computed properties:
- V: 34.79 A^3/atom
- Energy: -0.168 Ha/atom
- Total magnetic moment: 2.00 μB/cell

***

No. 4
# Cs2ThBrCl5

Crystalline Cs2ThBrCl5 at its relaxed geometry (GGA-PBE, Alexandria via LeMat-Bulk).

Structure (extended XYZ):
```
9
Lattice="-3.957 3.957 5.594 3.957 -3.957 5.594 3.957 3.957 -5.594" Properties=species:S:1:pos:R:3 pbc="T T T"
Cs 3.957 0.000 0.000
Cs 0.000 3.957 0.000
Th 0.000 0.000 2.793
Br 0.000 0.000 5.662
Cl 0.000 0.000 0.109
Cl 2.058 2.058 -2.773
Cl 1.899 -1.899 2.821
Cl -1.899 1.899 2.821
Cl 1.899 1.899 2.821
```

Computed properties:
- V: 38.93 A^3/atom
- Energy: -0.159 Ha/atom
- Total magnetic moment: 0.00 μB/cell

***

No. 5
# Sr3TlW

Crystalline Sr3TlW at its relaxed geometry (GGA-PBE, Alexandria via LeMat-Bulk).

Structure (extended XYZ):
```
5
Lattice="5.864 0.000 0.000 0.000 5.864 0.000 0.000 0.000 5.864" Properties=species:S:1:pos:R:3 pbc="T T T"
Sr 0.000 0.000 2.932
Sr 0.000 2.932 0.000
Sr 2.932 0.000 0.000
Tl 2.932 2.932 2.932
W 0.000 0.000 0.000
```

Computed properties:
- ΔE_f: 0.905 eV/atom
- Relative energy among the computed polymorphs: 0.000 eV/atom
- V: 40.34 A^3/atom
- Energy: -0.116 Ha/atom
- Total magnetic moment: 0.00 μB/cell

***

No. 6
# Ta2Be2NbRu5

Crystalline Ta2Be2NbRu5 at its relaxed geometry (GGA-PBE, Alexandria via LeMat-Bulk).

Structure (extended XYZ):
```
20
Lattice="9.403 0.000 0.000 0.000 9.403 0.000 0.000 0.000 3.145" Properties=species:S:1:pos:R:3 pbc="T T T"
Ta 1.639 3.063 0.000
Ta 3.063 7.764 0.000
Ta 6.340 1.639 0.000
Ta 7.764 6.340 0.000
Be 1.137 5.839 0.000
Be 3.565 1.137 0.000
Be 5.839 8.266 0.000
Be 8.266 3.565 0.000
Nb 0.000 0.000 0.000
Nb 4.702 4.702 0.000
Ru 0.000 4.702 1.572
Ru 0.700 7.417 1.572
Ru 1.986 0.700 1.572
Ru 2.715 5.402 1.572
Ru 4.002 2.715 1.572
Ru 4.702 0.000 1.572
Ru 5.402 6.688 1.572
Ru 6.688 4.002 1.572
Ru 7.417 8.703 1.572
Ru 8.703 1.986 1.572
```

Computed properties:
- ΔE_f: -0.417 eV/atom
- V: 13.90 A^3/atom
- Energy: -0.337 Ha/atom
- Total magnetic moment: 0.00 μB/cell

***

No. 7
# La2NdDyY5

Crystalline La2NdDyY5 at its relaxed geometry (GGA-PBE, Alexandria via LeMat-Bulk).

Structure (extended XYZ):
```
18
Lattice="-4.335 4.335 7.987 4.335 -4.335 7.987 4.335 4.335 -7.987" Properties=species:S:1:pos:R:3 pbc="T T T"
La 5.360 1.025 0.000
La 1.025 3.310 0.000
La 3.310 1.025 7.987
La -1.025 3.310 7.987
Nd 4.335 0.000 3.994
Nd 0.000 4.335 3.994
Dy 0.000 0.000 3.994
Dy 0.000 0.000 11.981
Y 0.000 0.000 0.000
Y 2.494 1.841 -2.249
Y 2.494 -1.841 5.738
Y 2.494 1.841 2.249
Y 2.494 -1.841 10.236
Y 0.000 0.000 7.987
Y 1.841 6.176 -2.249
Y 1.841 2.494 5.738
Y 1.841 6.176 2.249
Y 1.841 2.494 10.236
```

Computed properties:
- ΔE_f: 0.236 eV/atom
- V: 33.35 A^3/atom
- Energy: -0.202 Ha/atom
- Total magnetic moment: 0.00 μB/cell

***

No. 8
# Li2DySn3Se6

Crystalline Li2DySn3Se6 at its relaxed geometry (GGA-PBE, Alexandria via LeMat-Bulk).

Structure (extended XYZ):
```
12
Lattice="3.551 -6.161 0.000 3.551 6.161 0.000 -2.348 0.000 6.864" Properties=species:S:1:pos:R:3 pbc="T T T"
Li 3.551 4.045 0.000
Li 3.551 -4.045 0.000
Dy 3.551 0.000 0.000
Sn -1.174 0.000 3.432
Sn 2.377 2.024 3.432
Sn 2.377 -2.024 3.432
Se 0.013 2.031 5.263
Se 1.217 0.000 1.660
Se 0.013 -2.031 5.263
Se 4.741 2.031 1.602
Se 3.537 0.000 5.204
Se 4.741 -2.031 1.602
```

Computed properties:
- V: 25.03 A^3/atom
- Energy: -0.160 Ha/atom
- Total magnetic moment: 0.00 μB/cell